one:
Compound: CsCo3Os
Source: the Alexandria database
Functional: GGA-PBE
Structure: relaxed

The structure in POSCAR format:
```
CsCo3Os
1.0
4.7078 0.0000 0.0000
0.0000 4.7078 0.0000
0.0000 0.0000 4.7078
Cs Co Os
1 3 1
Direct
0.5000 0.5000 0.5000
0.0000 0.5000 0.0000
0.0000 0.0000 0.5000
0.5000 0.0000 0.0000
0.0000 0.0000 0.0000
```

Computed properties:
D(E_F) ... 7.745 states/eV per cell
SG ... Pm-3m (221)
V ... 104.3 Å³ per cell

=====

two:
Compound: CsCo3Os
Source: the Alexandria database
Functional: GGA-PBE
Structure: relaxed

The structure in POSCAR format:
```
CsCo3Os
1.0
-2.5168 -2.7582 2.6510
3.4135 -3.0517 0.0656
1.7271 2.0122 3.7333
Cs Co Os
1 3 1
Direct
0.0000 0.0000 0.0000
0.0000 0.5000 0.0000
0.0000 0.0000 0.5000
0.5000 0.0000 0.0000
0.5000 0.5000 0.5000
```

Computed properties:
D(E_F) ... 7.137 states/eV per cell
SG ... Pm-3m (221)
V ... 96.0 Å³ per cell

=====

The structure shown above that is most stable: one.